{"formula": "FeWN2O", "functional": "GGA+U", "state": "relaxed", "lattice_angstrom": [[3.822, 0.000, 0.000], [0.000, 3.822, 0.000], [0.000, 0.000, 3.673]], "species": ["Fe", "W", "N", "N", "O"], "frac_coords": [[0.000, 0.000, 0.000], [0.500, 0.500, 0.500], [0.000, 0.500, 0.000], [0.500, 0.000, 0.000], [0.000, 0.000, 0.500]], "volume_a3_per_cell": 54, "energy_ev_per_atom": -6.09, "density_g_cm3": 8.8}